The following is a DFT calculation (PBE) of a relaxed HoHf2Al6 crystal.

Geometry as CIF:
```
data_HoHf2Al6
_cell_length_a 4.234
_cell_length_b 6.715
_cell_length_c 13.099
_cell_angle_alpha 90.00
_cell_angle_beta 90.00
_cell_angle_gamma 90.00
_symmetry_space_group_name_H-M 'I m m m'
_symmetry_Int_Tables_number 71
_symmetry_space_group_name_Hall '-I 2 2'
loop_
_atom_site_label
_atom_site_fract_x
_atom_site_fract_y
_atom_site_fract_z
Ho1 0.000 0.000 0.000
Hf1 0.000 0.500 0.116
Al1 0.000 0.188 0.500
Al2 0.000 0.293 0.309
```

Properties
- Energy of formation: -246 meV per atom
- VASP energy: -5.462 eV/atom
- Spin magnetization: 0.0 μB per formula unit
- Density of states at the Fermi level: 7.68 states/eV/cell

The following is a DFT calculation (PBE) of a relaxed V12Ga3Pd crystal.

Geometry as CIF:
```
data_V12Ga3Pd
_cell_length_a 4.776
_cell_length_b 4.777
_cell_length_c 9.615
_cell_angle_alpha 90.00
_cell_angle_beta 90.00
_cell_angle_gamma 90.00
_symmetry_space_group_name_H-M 'P m m m'
_symmetry_Int_Tables_number 47
loop_
_symmetry_equiv_pos_as_xyz
'x,y,z'
'-x,-y,-z'
'-x,-y,z'
'x,y,-z'
'x,-y,-z'
'-x,y,z'
'-x,y,-z'
'x,-y,z'
loop_
_atom_site_label
_atom_site_fract_x
_atom_site_fract_y
_atom_site_fract_z
V1 0.000 0.000 0.120
V2 0.000 0.000 0.370
V3 0.248 0.500 0.251
V4 0.500 0.248 0.500
V5 0.500 0.249 0.000
Ga1 0.000 0.500 0.500
Ga2 0.500 0.000 0.251
Pd1 0.000 0.500 0.000
```

Properties
- Energy of formation: -177 meV per atom
- VASP energy: -7.908 eV/atom
- Spin magnetization: 0.0 μB per formula unit
- Density of states at the Fermi level: 25.32 states/eV/cell

The following is a DFT calculation (PBE) of a relaxed Cs3Tl2I2F3 crystal.

Geometry as CIF:
```
data_Cs3Tl2I2F3
_cell_length_a 6.734
_cell_length_b 6.734
_cell_length_c 23.357
_cell_angle_alpha 90.00
_cell_angle_beta 90.00
_cell_angle_gamma 90.00
_symmetry_space_group_name_H-M 'I 4/m m m'
_symmetry_Int_Tables_number 139
_symmetry_space_group_name_Hall '-I 4 2'
loop_
_atom_site_label
_atom_site_fract_x
_atom_site_fract_y
_atom_site_fract_z
Cs1 0.000 0.000 0.000
Cs2 0.000 0.000 0.382
Tl1 0.000 0.000 0.213
I1 0.000 0.500 0.250
F1 0.000 0.000 0.113
F2 0.000 0.000 0.500
```

Properties
- Formation energy from raw total energies: -1628 kJ/mol of formula units
- VASP energy: -3.288 eV/atom
- Spin magnetization: 0.0 μB per formula unit
- Density of states at the Fermi level: 0.00 states/eV/cell

The following is a DFT calculation (PBE) of a relaxed Al2CrCd crystal.

Geometry as CIF:
```
data_Al2CrCd
_cell_length_a 3.893
_cell_length_b 3.893
_cell_length_c 8.276
_cell_angle_alpha 90.00
_cell_angle_beta 90.00
_cell_angle_gamma 90.00
_symmetry_space_group_name_H-M 'I 4/m m m'
_symmetry_Int_Tables_number 139
_symmetry_space_group_name_Hall '-I 4 2'
loop_
_atom_site_label
_atom_site_fract_x
_atom_site_fract_y
_atom_site_fract_z
Al1 0.000 0.500 0.250
Cr1 0.000 0.000 0.000
Cd1 0.000 0.000 0.500
```

Properties
- Energy of formation: 173 meV per atom
- VASP energy: -4.333 eV/atom
- Spin magnetization: 0.0 μB per formula unit
- Density of states at the Fermi level: 2.13 states/eV/cell

The following is a DFT calculation (PBE) of a relaxed Mg3Tl2In crystal.

Geometry as CIF:
```
data_Mg3Tl2In
_cell_length_a 4.897
_cell_length_b 8.288
_cell_length_c 7.565
_cell_angle_alpha 90.00
_cell_angle_beta 106.08
_cell_angle_gamma 90.00
_symmetry_space_group_name_H-M 'P 1 2/m 1'
_symmetry_Int_Tables_number 10
loop_
_symmetry_equiv_pos_as_xyz
'x,y,z'
'-x,-y,-z'
'-x,y,-z'
'x,-y,z'
loop_
_atom_site_label
_atom_site_fract_x
_atom_site_fract_y
_atom_site_fract_z
Mg1 0.000 0.246 0.000
Mg2 0.333 0.248 0.665
Tl1 0.166 0.500 0.332
Tl2 0.500 0.000 0.000
Tl3 0.500 0.500 0.000
In1 0.167 0.000 0.338
```

Properties
- Energy of formation: -45 meV per atom
- VASP energy: -2.088 eV/atom
- Spin magnetization: 0.0 μB per formula unit
- Density of states at the Fermi level: 4.41 states/eV/cell

The following is a DFT calculation (PBE) of a relaxed SmHo3Th2 crystal.

Geometry as CIF:
```
data_SmHo3Th2
_cell_length_a 10.057
_cell_length_b 3.569
_cell_length_c 10.666
_cell_angle_alpha 90.00
_cell_angle_beta 90.31
_cell_angle_gamma 90.00
_symmetry_space_group_name_H-M 'P 1 21/m 1'
_symmetry_Int_Tables_number 11
loop_
_symmetry_equiv_pos_as_xyz
'x,y,z'
'-x,-y,-z'
'-x,y+1/2,-z'
'x,-y+1/2,z'
loop_
_atom_site_label
_atom_site_fract_x
_atom_site_fract_y
_atom_site_fract_z
Sm1 0.123 0.250 0.251
Ho1 0.133 0.250 0.918
Ho2 0.371 0.750 0.417
Ho3 0.376 0.750 0.750
Th1 0.125 0.250 0.581
Th2 0.380 0.750 0.082
```

Properties
- Energy of formation: 34 meV per atom
- VASP energy: -5.515 eV/atom
- Spin magnetization: 0.0 μB per formula unit
- Density of states at the Fermi level: 15.39 states/eV/cell